# 1
Density functional theory data (GGA-PBE) for AcBeIr after structural relaxation.

a b c (Å): 4.0482 4.0482 4.4832
angles (deg): 90.00 90.00 120.00
Space group P-6m2 (No. 187)
Unique sites:
Ac1 0.0000 0.0000 0.0000 (multiplicity 1)
Be1 0.6667 0.3333 0.5000 (multiplicity 1)
Ir1 0.3333 0.6667 0.5000 (multiplicity 1)

Calculated values
- Fermi-level density of states: 0.2989 states/eV per atom
- Total magnetic moment: 0.0 μB/f.u.
- Formation energy: -11.88 kcal/mol of atoms
- Offset from the most stable computed form: 0 meV per atom

# 2
Density functional theory data (GGA-PBE) for Ac2BeIr after structural relaxation.

a b c (Å): 7.196 4.155 8.181
angles (deg): 90.00 106.97 90.00
Space group Cm (No. 8)
Unique sites:
Ac1 0.000 0.000 0.000 (multiplicity 2)
Ac2 0.171 0.000 0.517 (multiplicity 2)
Be1 0.253 0.500 0.260 (multiplicity 2)
Ir1 0.419 0.000 0.259 (multiplicity 2)

Calculated values
- Fermi-level density of states: 0.9623 states/eV per atom
- Total magnetic moment: 0.0 μB/f.u.
- Formation energy: -9.89 kcal/mol of atoms
- Offset from the most stable computed form: 0 meV per atom

# 3
Density functional theory data (GGA-PBE) for AcBeIr after structural relaxation.

a b c (Å): 4.0643 4.0643 8.9353
angles (deg): 90.00 90.00 120.00
Space group P6_3/mmc (No. 194)
Unique sites:
Ac1 0.0000 0.0000 0.0000 (multiplicity 2)
Be1 0.3333 0.6667 0.2500 (multiplicity 2)
Ir1 0.3333 0.6667 0.7500 (multiplicity 2)

Calculated values
- Fermi-level density of states: 0.4978 states/eV per atom
- Total magnetic moment: 0.0 μB/f.u.
- Formation energy: -11.64 kcal/mol of atoms
- Offset from the most stable computed form: 10 meV per atom

# 4
Density functional theory data (GGA-PBE) for AcBeIr after structural relaxation.

a b c (Å): 5.890 8.041 7.088
angles (deg): 90.00 126.73 90.00
Space group P2_1/c (No. 14)
Unique sites:
Ac1 0.132 0.072 0.323 (multiplicity 4)
Be1 0.459 0.663 0.636 (multiplicity 4)
Ir1 0.472 0.614 0.327 (multiplicity 4)

Calculated values
- Fermi-level density of states: 0.5227 states/eV per atom
- Total magnetic moment: 0.0 μB/f.u.
- Formation energy: -10.25 kcal/mol of atoms
- Offset from the most stable computed form: 70 meV per atom

# 5
Density functional theory data (GGA-PBE) for AcBe3Ir after structural relaxation.

a b c (Å): 4.432 4.432 4.432
angles (deg): 90.00 90.00 90.00
Space group Pm-3m (No. 221)
Unique sites:
Ac1 0.000 0.000 0.000 (multiplicity 1)
Be1 0.000 0.500 0.500 (multiplicity 3)
Ir1 0.500 0.500 0.500 (multiplicity 1)

Calculated values
- Fermi-level density of states: 0.4408 states/eV per atom
- Total magnetic moment: 0.0 μB/f.u.
- Formation energy: -6.48 kcal/mol of atoms

# 6
Density functional theory data (GGA-PBE) for Ac2BeIrO6 after structural relaxation.

a b c (Å): 5.5320 5.5320 28.7935
angles (deg): 90.00 90.00 120.00
Space group R-3m (No. 166, hexagonal axes)
Unique sites:
Ac1 0.0000 0.0000 0.1285 (multiplicity 6)
Ac2 0.0000 0.0000 0.2753 (multiplicity 6)
Be1 0.0000 0.0000 0.3840 (multiplicity 6)
Ir1 0.0000 0.0000 0.0000 (multiplicity 3)
Ir2 0.0000 0.0000 0.5000 (multiplicity 3)
O1 0.0073 0.5037 0.2888 (multiplicity 18)
O2 0.0117 0.5058 0.8716 (multiplicity 18)

Calculated values
- Fermi-level density of states: 0.4844 states/eV per atom
- Total magnetic moment: 1.0 μB/f.u.
- Formation energy without anion corrections: -23.70 eV per formula unit

# 7
Density functional theory data (GGA-PBE) for AcBeIrO6 after structural relaxation.

a b c (Å): 5.0094 5.0094 10.7591
angles (deg): 90.00 90.00 120.00
Space group P-31c (No. 163)
Unique sites:
Ac1 0.0000 0.0000 0.0000 (multiplicity 2)
Be1 0.3333 0.6667 0.2500 (multiplicity 2)
Ir1 0.3333 0.6667 0.7500 (multiplicity 2)
O1 0.0092 0.3872 0.1514 (multiplicity 12)

Calculated values
- Fermi-level density of states: 0.6413 states/eV per atom
- Total magnetic moment: 1.4 μB/f.u.
- Formation energy without anion corrections: -15.32 eV per formula unit

# 8
Density functional theory data (GGA-PBE) for AcBePIr6 after structural relaxation.

a b c (Å): 6.076 9.361 11.393
angles (deg): 90.00 90.00 90.00
Space group Imma (No. 74)
Unique sites:
Ac1 0.000 0.250 0.165 (multiplicity 4)
Be1 0.250 0.250 0.750 (multiplicity 4)
P1 0.000 0.000 0.500 (multiplicity 4)
Ir1 0.000 0.250 0.436 (multiplicity 4)
Ir2 0.000 0.250 0.892 (multiplicity 4)
Ir3 0.235 0.028 0.864 (multiplicity 16)

Calculated values
- Fermi-level density of states: 1.0280 states/eV per atom
- Total magnetic moment: 0.0 μB/f.u.
- Formation energy: 0.92 kcal/mol of atoms

# 9
Density functional theory data (GGA-PBE) for AcPmBeIr after structural relaxation.

a b c (Å): 7.271 7.271 7.271
angles (deg): 90.00 90.00 90.00
Space group F-43m (No. 216)
Unique sites:
Ac1 0.000 0.000 0.000 (multiplicity 4)
Pm1 0.000 0.000 0.500 (multiplicity 4)
Be1 0.250 0.250 0.750 (multiplicity 4)
Ir1 0.250 0.250 0.250 (multiplicity 4)

Calculated values
- Fermi-level density of states: 0.4502 states/eV per atom
- Total magnetic moment: 0.0 μB/f.u.
- Formation energy: -2.72 kcal/mol of atoms

# 10
Density functional theory data (GGA-PBE) for Ac2BeIrPt6 after structural relaxation.

a b c (Å): 10.517 6.017 7.286
angles (deg): 90.00 119.08 90.00
Space group C2/m (No. 12)
Unique sites:
Ac1 0.218 0.000 0.156 (multiplicity 4)
Be1 0.000 0.000 0.500 (multiplicity 2)
Ir1 0.000 0.500 0.000 (multiplicity 2)
Pt1 0.035 0.274 0.332 (multiplicity 8)
Pt2 0.239 0.000 0.665 (multiplicity 4)

Calculated values
- Fermi-level density of states: 0.5582 states/eV per atom
- Total magnetic moment: 0.0 μB/f.u.
- Formation energy: -15.86 kcal/mol of atoms

# 11
Density functional theory data (GGA-PBE) for Ac2BeSi3Ir4 after structural relaxation.

a b c (Å): 4.214 4.214 10.284
angles (deg): 90.00 90.00 90.00
Space group P-4m2 (No. 115)
Unique sites:
Ac1 0.000 0.500 0.241 (multiplicity 2)
Be1 0.500 0.500 0.000 (multiplicity 1)
Si1 0.000 0.000 0.000 (multiplicity 1)
Si2 0.000 0.500 0.624 (multiplicity 2)
Ir1 0.000 0.000 0.500 (multiplicity 1)
Ir2 0.000 0.500 0.877 (multiplicity 2)
Ir3 0.500 0.500 0.500 (multiplicity 1)

Calculated values
- Fermi-level density of states: 0.6119 states/eV per atom
- Total magnetic moment: 0.0 μB/f.u.
- Formation energy without anion corrections: -8.45 eV per formula unit

# 12
Density functional theory data (GGA-PBE) for AcBeSiIr3 after structural relaxation.

a b c (Å): 6.063 11.921 5.927
angles (deg): 90.00 90.00 90.00
Space group Cmcm (No. 63)
Unique sites:
Ac1 0.000 0.239 0.250 (multiplicity 4)
Be1 0.000 0.497 0.750 (multiplicity 4)
Si1 0.000 0.112 0.750 (multiplicity 4)
Ir1 0.000 0.305 0.750 (multiplicity 4)
Ir2 0.234 0.000 0.000 (multiplicity 8)

Calculated values
- Fermi-level density of states: 0.3599 states/eV per atom
- Total magnetic moment: 0.0 μB/f.u.
- Formation energy without anion corrections: -3.38 eV per formula unit

# 13
Density functional theory data (GGA-PBE) for AcBeZn2Ir2 after structural relaxation.

a b c (Å): 4.335 4.335 5.756
angles (deg): 90.00 90.00 90.00
Space group P4/mmm (No. 123)
Unique sites:
Ac1 0.000 0.000 0.000 (multiplicity 1)
Be1 0.000 0.000 0.500 (multiplicity 1)
Zn1 0.500 0.500 0.238 (multiplicity 2)
Ir1 0.000 0.500 0.500 (multiplicity 2)

Calculated values
- Fermi-level density of states: 0.6472 states/eV per atom
- Total magnetic moment: 0.0 μB/f.u.
- Formation energy: -9.35 kcal/mol of atoms

# 14
Density functional theory data (GGA-PBE) for Ac2BeZnIr2 after structural relaxation.

a b c (Å): 6.062 14.882 5.899
angles (deg): 90.00 90.00 90.00
Space group Ibam (No. 72)
Unique sites:
Ac1 0.247 0.161 0.000 (multiplicity 8)
Be1 0.000 0.500 0.250 (multiplicity 4)
Zn1 0.000 0.000 0.250 (multiplicity 4)
Ir1 0.217 0.405 0.000 (multiplicity 8)

Calculated values
- Fermi-level density of states: 0.5544 states/eV per atom
- Total magnetic moment: 0.0 μB/f.u.
- Formation energy: -10.58 kcal/mol of atoms

# 15
Density functional theory data (GGA-PBE) for KAc2Be2O6 after structural relaxation.

a b c (Å): 5.543 5.965 6.737
angles (deg): 101.02 112.17 110.04
Space group P-1 (No. 2)
Unique sites:
K1 0.000 0.000 0.000 (multiplicity 1)
Ac1 0.411 0.265 0.669 (multiplicity 2)
Be1 0.019 0.477 0.722 (multiplicity 2)
O1 0.117 0.823 0.358 (multiplicity 2)
O2 0.190 0.404 0.349 (multiplicity 2)
O3 0.351 0.633 0.896 (multiplicity 2)

Calculated values
- Fermi-level density of states: 0.3368 states/eV per atom
- Total magnetic moment: 1.1 μB/f.u.
- Formation energy without anion corrections: -28.27 eV per formula unit

# 16
Density functional theory data (GGA-PBE) for K2AcBeO4 after structural relaxation.

a b c (Å): 6.782 6.782 5.965
angles (deg): 90.00 90.00 90.00
Space group I-42m (No. 121)
Unique sites:
K1 0.000 0.500 0.250 (multiplicity 4)
Ac1 0.000 0.000 0.000 (multiplicity 2)
Be1 0.000 0.000 0.500 (multiplicity 2)
O1 0.138 0.138 0.320 (multiplicity 8)

Calculated values
- Fermi-level density of states: 0.2072 states/eV per atom
- Total magnetic moment: 1.0 μB/f.u.
- Formation energy without anion corrections: -14.95 eV per formula unit

# 17
Density functional theory data (GGA-PBE) for KAcBe2O4 after structural relaxation.

a b c (Å): 5.845 5.845 6.642
angles (deg): 90.00 90.00 90.00
Space group I422 (No. 97)
Unique sites:
K1 0.000 0.000 0.000 (multiplicity 2)
Ac1 0.000 0.000 0.500 (multiplicity 2)
Be1 0.000 0.500 0.250 (multiplicity 4)
O1 0.175 0.325 0.750 (multiplicity 8)

Calculated values
- Fermi-level density of states: 0.0000 states/eV per atom
- Total magnetic moment: 0.0 μB/f.u.
- Formation energy without anion corrections: -18.96 eV per formula unit

# 18
Density functional theory data (GGA-PBE) for KAc2BeO5 after structural relaxation.

a b c (Å): 7.222 7.222 10.609
angles (deg): 90.00 90.00 90.00
Space group I4/mcm (No. 140)
Unique sites:
K1 0.000 0.000 0.250 (multiplicity 4)
Ac1 0.184 0.316 0.000 (multiplicity 8)
Be1 0.000 0.500 0.250 (multiplicity 4)
O1 0.000 0.000 0.000 (multiplicity 4)
O2 0.121 0.379 0.355 (multiplicity 16)

Calculated values
- Fermi-level density of states: 0.5354 states/eV per atom
- Total magnetic moment: 1.0 μB/f.u.
- Formation energy without anion corrections: -23.45 eV per formula unit

# 19
Density functional theory data (GGA-PBE) for AcLaBeN2 after structural relaxation.

a b c (Å): 4.021 4.131 6.347
angles (deg): 90.00 107.90 90.00
Space group P2/m (No. 10)
Unique sites:
Ac1 0.000 0.000 0.000 (multiplicity 1)
La1 0.000 0.500 0.500 (multiplicity 1)
Be1 0.500 0.000 0.500 (multiplicity 1)
N1 0.368 0.000 0.704 (multiplicity 2)

Calculated values
- Fermi-level density of states: 0.3786 states/eV per atom
- Total magnetic moment: 0.0 μB/f.u.
- Formation energy without anion corrections: -3.82 eV per formula unit

# 20
Density functional theory data (GGA-PBE) for Ac2LaBe2Pd7 after structural relaxation.

a b c (Å): 6.088 6.618 12.486
angles (deg): 90.00 102.60 90.00
Space group C2/m (No. 12)
Unique sites:
Ac1 0.195 0.000 0.372 (multiplicity 4)
La1 0.000 0.000 0.000 (multiplicity 2)
Be1 0.022 0.500 0.187 (multiplicity 4)
Pd1 0.000 0.500 0.000 (multiplicity 2)
Pd2 0.187 0.221 0.826 (multiplicity 8)
Pd3 0.191 0.500 0.363 (multiplicity 4)

Calculated values
- Fermi-level density of states: 0.4362 states/eV per atom
- Total magnetic moment: 0.0 μB/f.u.
- Formation energy: -15.96 kcal/mol of atoms

# 21
Density functional theory data (GGA-PBE) for AcLaBe2Si2 after structural relaxation.

a b c (Å): 4.0359 4.0359 9.0364
angles (deg): 90.00 90.00 120.00
Space group P-3m1 (No. 164)
Unique sites:
Ac1 0.0000 0.0000 0.0000 (multiplicity 1)
La1 0.0000 0.0000 0.5000 (multiplicity 1)
Be1 0.3333 0.6667 0.7415 (multiplicity 2)
Si1 0.3333 0.6667 0.2602 (multiplicity 2)

Calculated values
- Fermi-level density of states: 0.8175 states/eV per atom
- Total magnetic moment: 0.0 μB/f.u.
- Formation energy without anion corrections: -3.02 eV per formula unit

# 22
Density functional theory data (GGA-PBE) for AcLaBeZn after structural relaxation.

a b c (Å): 7.520 7.520 7.520
angles (deg): 90.00 90.00 90.00
Space group F-43m (No. 216)
Unique sites:
Ac1 0.000 0.000 0.000 (multiplicity 4)
La1 0.000 0.000 0.500 (multiplicity 4)
Be1 0.250 0.250 0.750 (multiplicity 4)
Zn1 0.250 0.250 0.250 (multiplicity 4)

Calculated values
- Fermi-level density of states: 0.8718 states/eV per atom
- Total magnetic moment: 0.0 μB/f.u.
- Formation energy: 0.52 kcal/mol of atoms

# 23
Density functional theory data (GGA-PBE) for LiAcMgBe after structural relaxation.

a b c (Å): 7.193 7.193 7.193
angles (deg): 90.00 90.00 90.00
Space group F-43m (No. 216)
Unique sites:
Li1 0.000 0.000 0.000 (multiplicity 4)
Ac1 0.250 0.250 0.750 (multiplicity 4)
Mg1 0.250 0.250 0.250 (multiplicity 4)
Be1 0.000 0.000 0.500 (multiplicity 4)

Calculated values
- Fermi-level density of states: 0.4407 states/eV per atom
- Total magnetic moment: 0.0 μB/f.u.
- Formation energy: 3.70 kcal/mol of atoms